VASP calculation (GGA-PBE) on a geometry-optimized Li3U3CrSe8 structure. Values from VASP.

```
&SYSTEM
  ibrav = 0, nat = 15, ntyp = 4
/
ATOMIC_SPECIES
Li 6.94 Li.upf
U 238.03 U.upf
Cr 52.00 Cr.upf
Se 78.96 Se.upf
CELL_PARAMETERS angstrom
6.9170 -3.9689 0.0000
6.9170 3.9689 0.0000
-4.6078 0.0000 6.5552
ATOMIC_POSITIONS crystal
Li 0.0000 0.0000 0.0000
Li 0.0000 0.5000 0.0000
Li 0.5000 0.0000 0.0000
U 0.0000 0.5000 0.5000
U 0.5000 0.0000 0.5000
U 0.5000 0.5000 0.5000
Cr 0.0000 0.0000 0.5000
Se 0.2322 0.7641 0.2587
Se 0.2359 0.7678 0.7413
Se 0.2382 0.2382 0.7430
Se 0.2458 0.2458 0.2361
Se 0.7542 0.7542 0.7639
Se 0.7618 0.7618 0.2570
Se 0.7641 0.2322 0.2587
Se 0.7678 0.2359 0.7413
```

Results
- DFT total energy: -92.8 eV for the cell shown
- Space group: C2/m, No. 12
- Energy relative to the elements, uncorrected: -1.050 eV/atom